Version a
Here is an optimized crystal structure of Al3ZnI from Alexandria via LeMat-Bulk. Energies are from PBE-GGA.

a = 5.9288 Å, b = 5.9288 Å, c = 5.9288 Å
α = 90.00°, β = 90.00°, γ = 90.00°
With the nearest neighbours (Å) after each atom.
Space group Pm-3m (No. 221)
Inequivalent atoms, fractional coordinates:
Al (0.0000, 0.0000, 0.5000)  2 I 2.96
Zn (0.5000, 0.5000, 0.5000)  12 Al 4.19
I (0.0000, 0.0000, 0.0000)  6 Al 2.96

Calculated values
The value obtained for the volume is 208 Å³ per cell. Its density of states at the Fermi level is 3.569 states/eV per cell.


Version b
Here is an optimized crystal structure of Al3ZnI from Alexandria via LeMat-Bulk. Energies are from PBE-GGA.

a = 4.9995 Å, b = 4.9995 Å, c = 4.9995 Å
α = 90.00°, β = 90.00°, γ = 90.00°
With the nearest neighbours (Å) after each atom.
Space group Pm-3m (No. 221)
Inequivalent atoms, fractional coordinates:
Al (0.0000, 0.0000, 0.5000)  2 Zn 2.50
Zn (0.0000, 0.0000, 0.0000)  6 Al 2.50
I (0.5000, 0.5000, 0.5000)  12 Al 3.54

Calculated values
The value obtained for the volume is 125 Å³ per cell. Its density of states at the Fermi level is 2.278 states/eV per cell.


Last place for stability: version a


Version a
Here is an optimized crystal structure of ZrAlI2 from Alexandria via LeMat-Bulk. Energies are from PBE-GGA.

a = 10.4578 Å, b = 10.4578 Å, c = 5.6182 Å
α = 90.00°, β = 90.00°, γ = 90.00°
With the nearest neighbours (Å) after each atom.
Space group I-42d (No. 122)
Inequivalent atoms, fractional coordinates:
Zr (0.0000, 0.0000, 0.0000)  2 Al 2.81, 4 I 2.89
Al (0.0000, 0.0000, 0.5000)  2 Zr 2.81
I (0.0955, 0.7500, 0.1250)  2 Zr 2.89

Calculated values
The value obtained for the volume is 614 Å³ per cell. Its density of states at the Fermi level is 16.385 states/eV per cell.


Version b
Here is an optimized crystal structure of ZrAlI2 from Alexandria via LeMat-Bulk. Energies are from PBE-GGA.

a = 7.3597 Å, b = 7.3597 Å, c = 7.3597 Å
α = 90.00°, β = 90.00°, γ = 90.00°
With the nearest neighbours (Å) after each atom.
Space group Fm-3m (No. 225)
Inequivalent atoms, fractional coordinates:
Zr (0.0000, 0.0000, 0.0000)  8 I 3.19
Al (0.0000, 0.0000, 0.5000)  8 I 3.19
I (0.2500, 0.2500, 0.2500)  4 Zr 3.19, 4 Al 3.19

Calculated values
The value obtained for the volume is 399 Å³ per cell. Its density of states at the Fermi level is 10.829 states/eV per cell.


Last place for stability: version b


Version a
Here is an optimized crystal structure of AlIn4 from Alexandria via LeMat-Bulk. Energies are from PBE-GGA.

a = 7.5200 Å, b = 7.5200 Å, c = 4.4511 Å
α = 90.00°, β = 90.00°, γ = 90.00°
With the nearest neighbours (Å) after each atom.
Space group I4/m (No. 87)
Inequivalent atoms, fractional coordinates:
Al (0.0000, 0.0000, 0.0000)  12 In 3.21-3.40
In (0.0986, 0.2923, 0.5000)  3 Al 3.21-3.40, 9 In 3.25-3.46

Calculated values
The value obtained for the volume is 252 Å³ per cell. Its density of states at the Fermi level is 4.321 states/eV per cell.


Version b
Here is an optimized crystal structure of AlIn4 from Alexandria via LeMat-Bulk. Energies are from PBE-GGA.

a = 6.5480 Å, b = 6.5480 Å, c = 6.5480 Å
α = 90.00°, β = 90.00°, γ = 90.00°
With the nearest neighbours (Å) after each atom.
Space group Im-3m (No. 229)
Inequivalent atoms, fractional coordinates:
Al (0.0000, 0.0000, 0.0000)  8 In 2.84
In (0.2500, 0.2500, 0.2500)  2 Al 2.84

Calculated values
The value obtained for the volume is 281 Å³ per cell. Its density of states at the Fermi level is 5.018 states/eV per cell.


Last place for stability: version b


Version a
Here is an optimized crystal structure of Al3In5 from Alexandria via LeMat-Bulk. Energies are from PBE-GGA.

a = 8.6178 Å, b = 8.6178 Å, c = 5.9924 Å
α = 90.00°, β = 90.00°, γ = 120.00°
With the nearest neighbours (Å) after each atom.
Space group P6_3/mcm (No. 193)
Inequivalent atoms, fractional coordinates:
Al (0.0000, 0.4111, 0.2500)  7 In 3.00-3.08
In (0.0000, 0.2321, 0.7500)  5 Al 3.07-3.37
In (0.3333, 0.6667, 0.0000)  2 In 3.00, 6 Al 3.00

Calculated values
The value obtained for the volume is 385 Å³ per cell. Its density of states at the Fermi level is 7.545 states/eV per cell.


Version b
Here is an optimized crystal structure of Al3In5 from Alexandria via LeMat-Bulk. Energies are from PBE-GGA.

a = 8.8218 Å, b = 9.8548 Å, c = 4.3185 Å
α = 90.00°, β = 90.00°, γ = 90.00°
With the nearest neighbours (Å) after each atom.
Space group Cmmm (No. 65)
Inequivalent atoms, fractional coordinates:
Al (0.0000, 0.0000, 0.0000)  8 In 3.02-3.31, 4 Al 3.14
Al (0.0000, 0.2317, 0.5000)  8 In 3.09-3.41, 2 Al 3.14
In (0.0000, 0.5000, 0.0000)  8 In 3.15-3.31, 4 Al 3.41
In (0.2398, 0.0000, 0.5000)  4 Al 3.02-3.11, 6 In 3.15-3.28
In (0.2500, 0.2500, 0.0000)  6 Al 3.09-3.31, 6 In 3.28-3.31

Calculated values
The value obtained for the volume is 375 Å³ per cell. Its density of states at the Fermi level is 5.788 states/eV per cell.


Last place for stability: version a


Version a
Here is an optimized crystal structure of Al5In from Alexandria via LeMat-Bulk. Energies are from PBE-GGA.

a = 4.4741 Å, b = 2.9423 Å, c = 17.2856 Å
α = 90.00°, β = 90.00°, γ = 90.00°
With the nearest neighbours (Å) after each atom.
Space group Amm2 (No. 38)
Inequivalent atoms, fractional coordinates:
Al (0.0000, 0.0000, 0.0000)  8 Al 2.80-2.99, 2 In 3.06
Al (0.0000, 0.0000, 0.2967)  6 Al 2.78-2.94, 4 In 3.04
Al (0.0000, 0.0000, 0.6505)  12 Al 2.82-2.99
Al (0.5000, 0.0000, 0.2011)  10 Al 2.78-3.04
Al (0.5000, 0.0000, 0.5470)  10 Al 2.80-3.04
In (0.5000, 0.0000, 0.8795)  2 In 2.94, 8 Al 3.04-3.25

Calculated values
The value obtained for the volume is 228 Å³ per cell. Its density of states at the Fermi level is 3.833 states/eV per cell.


Version b
Here is an optimized crystal structure of Al5In from Alexandria via LeMat-Bulk. Energies are from PBE-GGA.

a = 9.3607 Å, b = 3.0373 Å, c = 8.4464 Å
α = 90.00°, β = 113.56°, γ = 90.00°
With the nearest neighbours (Å) after each atom.
Space group C2/m (No. 12)
Inequivalent atoms, fractional coordinates:
Al (0.0000, 0.0000, 0.0000)  12 Al 2.83-3.04
Al (0.1613, 0.5000, 0.3085)  7 Al 2.85-3.04, 3 In 2.93-3.03
Al (0.1708, 0.5000, 0.8488)  10 Al 2.83-3.04, 2 In 3.13
In (0.0000, 0.0000, 0.5000)  10 Al 2.93-3.13, 2 In 3.04

Calculated values
The value obtained for the volume is 220 Å³ per cell. Its density of states at the Fermi level is 4.785 states/eV per cell.


Last place for stability: version a


Version a
Here is an optimized crystal structure of Al5In from Alexandria via LeMat-Bulk. Energies are from PBE-GGA.

a = 2.9869 Å, b = 2.9869 Å, c = 12.3166 Å
α = 90.00°, β = 90.00°, γ = 90.00°
With the nearest neighbours (Å) after each atom.
Space group P4/mmm (No. 123)
Inequivalent atoms, fractional coordinates:
Al (0.0000, 0.0000, 0.0000)  12 Al 2.83-2.99
Al (0.0000, 0.0000, 0.3080)  8 Al 2.85-2.99, 4 In 3.17
Al (0.5000, 0.5000, 0.1526)  12 Al 2.83-2.99
In (0.5000, 0.5000, 0.5000)  4 In 2.99, 8 Al 3.17

Calculated values
The value obtained for the volume is 110 Å³ per cell. Its density of states at the Fermi level is 2.361 states/eV per cell.


Version b
Here is an optimized crystal structure of Al5In from Alexandria via LeMat-Bulk. Energies are from PBE-GGA.

a = 4.0946 Å, b = 12.6675 Å, c = 4.2239 Å
α = 90.00°, β = 90.00°, γ = 90.00°
With the nearest neighbours (Å) after each atom.
Space group Cmmm (No. 65)
Inequivalent atoms, fractional coordinates:
Al (0.0000, 0.0000, 0.0000)  4 In 2.94, 8 Al 3.00-3.05
Al (0.0000, 0.1739, 0.5000)  10 Al 2.81-3.05, 2 In 3.01
Al (0.0000, 0.3272, 0.0000)  10 Al 2.83-3.00, 2 In 3.04
In (0.0000, 0.5000, 0.5000)  12 Al 2.94-3.04

Calculated values
The value obtained for the volume is 219 Å³ per cell. Its density of states at the Fermi level is 4.061 states/eV per cell.


Version c
Here is an optimized crystal structure of Al5In from Alexandria via LeMat-Bulk. Energies are from PBE-GGA.

a = 5.6011 Å, b = 5.6011 Å, c = 4.4224 Å
α = 90.00°, β = 90.00°, γ = 120.00°
With the nearest neighbours (Å) after each atom.
Space group P6/mmm (No. 191)
Inequivalent atoms, fractional coordinates:
Al (0.0000, 0.5000, 0.0000)  8 Al 2.74-2.80
Al (0.3333, 0.6667, 0.5000)  6 Al 2.74
In (0.0000, 0.0000, 0.5000)  18 Al 3.23-3.57

Calculated values
The value obtained for the volume is 120 Å³ per cell. Its density of states at the Fermi level is 3.969 states/eV per cell.


Last place for stability: version c